## Pm2Al (PBE)

Data for Pm2Al after structural relaxation.

```
Pm2Al
1.0
3.5113 0.0000 0.0000
0.0000 3.5113 0.0000
-1.7557 -1.7557 6.9871
Pm Al
2 1
Cartesian
0.0000 0.0000 4.9485
1.7557 1.7557 2.0387
0.0000 0.0000 0.0000
```

## Properties
The calculation puts the electronic total energy at -4.6239 eV/atom. The energy relative to the lowest polymorph listed for this composition is 45.6 meV/atom. The value obtained for the calculated formation energy is -0.209 eV/atom.

---

## KTi2AlPt (PBE)

Data for KTi2AlPt after structural relaxation.

```
KTi2AlPt
1.0
5.1079 0.0000 0.0000
0.0000 4.8344 0.0000
0.0000 0.0000 5.1079
Ti Al K Pt
2 1 1 1
Cartesian
0.0000 0.0000 2.5539
2.5539 0.0000 0.0000
0.0000 2.4172 0.0000
2.5539 2.4172 2.5539
0.0000 0.0000 0.0000
```

## Properties
The calculation puts the electronic total energy at -5.0485 eV/atom. The value obtained for the calculated formation energy is 0.286 eV/atom.

---

## La5Sm12Sc3 (PBE)

Data for La5Sm12Sc3 after structural relaxation.

```
La5Sm12Sc3
1.0
-7.9446 -12.9631 -4.3285
15.1834 -3.6832 2.4068
-6.2021 5.7703 13.3467
Sm La Sc
48 20 12
Cartesian
-5.3926 -6.0372 5.5779
-4.4280 -3.8632 2.8193
7.6468 -4.9346 1.7988
5.4648 -7.0128 8.6057
0.2867 -13.2199 -0.4787
0.7501 2.3438 11.9037
12.3538 -3.4592 3.7734
-5.1642 -3.2793 10.7328
-3.6080 -11.8288 0.4031
-4.6403 -2.5285 6.2015
4.6447 0.9528 11.0219
-4.4577 1.7871 9.2959
-1.2873 -4.3413 3.3757
-0.7670 0.9508 5.8159
-2.2852 -6.8723 5.7973
-1.6314 -3.4609 6.8931
2.3241 -6.5348 8.0493
1.8038 -11.8269 5.6091
3.3219 -4.0038 5.6277
2.1402 -10.7380 0.4194
5.4945 -12.6631 2.1291
-10.1158 -8.3456 4.8062
2.6681 -7.4151 4.5319
5.1383 -1.2587 13.3171
2.8272 -1.4141 8.9337
-1.8764 -7.4308 -0.0124
4.6396 -2.9344 1.3276
7.0049 -13.8694 -0.4526
3.0953 -5.6938 0.6932
0.7342 -10.4438 8.3193
6.4294 -4.8389 5.8472
-5.4775 -7.2381 0.4978
6.4616 -1.2496 8.7605
-1.1035 -0.1381 11.0056
0.3026 -0.4323 3.1058
2.9131 -3.4453 11.4375
6.5143 -3.6380 10.9273
-3.6029 -7.9417 10.0974
-6.6100 -5.9414 9.6263
-1.7905 -9.4620 2.4913
-11.3171 -7.4169 7.6516
6.2009 -7.5967 0.6922
11.1526 -2.5305 6.6188
5.6771 -8.3476 5.2235
-5.9682 2.9933 11.8776
-2.0586 -5.1823 10.7318
-4.1015 -9.6174 -1.8921
-5.4249 -9.6264 2.6645
7.5917 -1.8416 1.2034
10.5241 -5.7423 2.6922
1.2054 -9.8605 3.2629
-3.9723 -6.4816 -2.1642
-0.1687 -1.0156 8.1621
8.0687 -2.2189 6.2691
-7.0733 -3.5964 4.5091
0.0000 0.0000 0.0000
0.9954 -5.8154 10.7782
0.0414 -5.0607 0.6469
4.4907 1.0435 7.8767
6.7696 -9.8822 2.7374
3.6194 -8.3232 -0.9608
-2.1134 -9.3170 7.7269
-9.4873 -5.1338 8.7328
-5.7328 -0.9939 8.6877
-3.1010 2.8851 6.6733
0.5184 -5.4380 5.7125
-7.0320 -8.6571 5.1560
3.1502 -1.5590 3.6982
-1.0399 -10.3823 -0.6755
-3.4953 -6.8589 2.9014
2.0767 -0.4938 12.1005
-6.6041 -10.3606 -0.1499
3.4507 -9.3387 7.2013
-2.4140 -1.5373 4.2237
7.6409 -0.5155 11.5749
-2.6240 2.5078 11.7390
4.9599 -5.7206 3.2178
3.6608 -13.3839 -0.3139
-3.9231 -5.1555 8.2073
4.5320 -4.0172 8.5236
```

## Properties
The calculation puts the electronic total energy at -4.1133 eV/atom. The value obtained for the calculated formation energy is 0.900 eV/atom.

---

We obtain size of the total moment values of 0.000; 3.934; 0.145 μB/cell for the records listed above, in that order.